A geometry-optimized Tb2Pb2O5 structure, computed with PBE.

a b c (Å): 4.4626 4.4626 7.1028
angles (deg): 90.00 90.00 90.00
Element x y z (fractional)
Tb1 0.0000 0.0000 0.0000
Tb2 0.0000 0.0000 0.5000
Pb1 0.5000 0.5000 0.2056
Pb2 0.5000 0.5000 0.7944
O1 0.0000 0.5000 0.2273
O2 0.0000 0.5000 0.7727
O3 0.5000 0.0000 0.2273
O4 0.5000 0.0000 0.7727
O5 0.5000 0.5000 0.5000

Results
The space group is P4/mmm (123). For the electronic total energy, the calculation gives -5.992 eV/atom. The volume comes out at 141.5 Å³/f.u.



A geometry-optimized LaMgAuSeS2 structure, computed with PBE.

a b c (Å): 6.8495 6.8495 11.0713
angles (deg): 90.00 90.00 147.15
Element x y z (fractional)
La1 0.0000 0.0000 0.0000
La2 0.0000 0.0000 0.5000
Mg1 0.2106 0.7894 0.7500
Mg2 0.7894 0.2106 0.2500
Au1 0.4827 0.5173 0.2500
Au2 0.5173 0.4827 0.7500
Se1 0.1220 0.8780 0.2500
Se2 0.8780 0.1220 0.7500
S1 0.3525 0.6475 0.0854
S2 0.3525 0.6475 0.4146
S3 0.6475 0.3525 0.5854
S4 0.6475 0.3525 0.9146

Results
The space group is Cmcm (63). For the electronic total energy, the calculation gives -4.730 eV/atom. The volume comes out at 140.9 Å³/f.u.



A geometry-optimized BeAs2Ir structure, computed with PBE.

a b c (Å): 4.3814 4.3814 4.3814
angles (deg): 60.00 60.00 60.00
Element x y z (fractional)
Be1 0.0000 0.0000 0.0000
As1 0.5000 0.5000 0.5000
As2 0.7500 0.7500 0.7500
Ir1 0.2500 0.2500 0.2500

Results
The space group is F-43m (216). For the electronic total energy, the calculation gives -5.024 eV/atom. The volume comes out at 59.5 Å³/f.u.